This record from OQMD via LeMat-Bulk describes an optimized crystal structure of LiHgPdAu. The functional is PBE.

Geometry as extended XYZ:
```
4
Lattice="2.836 -2.837 0.000 2.836 2.837 0.000 -2.832 0.000 4.213" Properties=species:S:1:pos:R:3 pbc="T T T"
Au 1.419 -1.418 2.106
Hg 2.836 0.000 0.000
Li 1.419 1.418 2.106
Pd 0.000 0.000 0.000
```

Values from the calculation:
space group	No. 119
total energy	-3.0201	eV per atom



This record from OQMD via LeMat-Bulk describes an optimized crystal structure of DyTmPd2. The functional is PBE.

Geometry as extended XYZ:
```
8
Lattice="4.459 0.000 0.000 0.000 6.845 0.000 0.000 0.000 5.653" Properties=species:S:1:pos:R:3 pbc="T T T"
Dy 2.229 2.949 0.799
Dy 0.000 3.896 3.626
Pd 0.000 4.887 0.874
Pd 0.000 1.374 1.952
Pd 2.229 1.958 3.701
Pd 2.229 5.471 4.779
Tm 2.229 6.372 2.027
Tm 0.000 0.473 4.854
```

Values from the calculation:
formation energy	-943	meV/atom
space group	No. 31
total energy	-5.7999	eV per atom



This record from OQMD via LeMat-Bulk describes an optimized crystal structure of CuOsPdPb. The functional is PBE.

Geometry as extended XYZ:
```
4
Lattice="0.000 3.208 3.208 3.208 0.000 3.208 3.208 3.208 0.000" Properties=species:S:1:pos:R:3 pbc="T T T"
Cu 4.812 4.812 4.812
Os 1.604 1.604 1.604
Pb 0.000 0.000 0.000
Pd 3.208 3.208 3.208
```

Values from the calculation:
space group	No. 216
total energy	-5.4290	eV per atom



This record from OQMD via LeMat-Bulk describes an optimized crystal structure of BaGdPdSe3. The functional is PBE.

Geometry as extended XYZ:
```
12
Lattice="2.080 -7.237 0.000 2.080 7.237 0.000 0.000 0.000 10.633" Properties=species:S:1:pos:R:3 pbc="T T T"
Ba 2.080 -3.640 2.658
Ba 2.080 3.640 7.975
Gd 0.000 0.000 0.000
Gd 0.000 0.000 5.317
Pd 2.080 0.363 2.658
Pd 2.080 -0.363 7.975
Se 2.080 1.981 0.617
Se 2.080 6.125 2.658
Se 2.080 1.981 4.699
Se 2.080 -1.981 5.934
Se 2.080 -6.125 7.975
Se 2.080 -1.981 10.016
```

Values from the calculation:
space group	No. 63
total energy	-5.2227	eV per atom



This record from OQMD via LeMat-Bulk describes an optimized crystal structure of Li4InSbIr2. The functional is PBE.

Geometry as extended XYZ:
```
8
Lattice="4.437 0.000 0.000 0.000 4.437 0.000 0.000 0.000 6.239" Properties=species:S:1:pos:R:3 pbc="T T T"
In 2.219 2.219 0.000
Ir 0.000 2.219 1.649
Ir 2.219 0.000 4.590
Li 0.000 0.000 0.000
Li 2.219 0.000 1.545
Li 2.219 2.219 3.120
Li 0.000 2.219 4.695
Sb 0.000 0.000 3.120
```

Values from the calculation:
space group	No. 115
total energy	-4.3966	eV per atom



This record from OQMD via LeMat-Bulk describes an optimized crystal structure of NaNi. The functional is PBE.

Geometry as extended XYZ:
```
2
Lattice="0.000 2.723 2.723 2.723 0.000 2.723 2.723 2.723 0.000" Properties=species:S:1:pos:R:3 pbc="T T T"
Na 0.000 0.000 0.000
Ni 2.723 2.723 2.723
```

Values from the calculation:
space group	No. 225
total energy	-2.3183	eV per atom